# CrGe2Au

A relaxed structure of CrGe2Au (PBE-GGA, Alexandria).

Cell lengths 4.481, 4.481, 4.481 Å; angles 60.00, 60.00, 60.00 degrees
Element x y z (fractional)
Au: 0.500 0.500 0.500
Ge: 0.750 0.750 0.750
Ge: 0.250 0.250 0.250
Cr: 0.000 0.000 0.000

Properties
E above lowest polymorph = 0.208 eV/atom
total moment = 0.000 Bohr magnetons per cell
calculated formation energy = 489 meV/atom
energy = -5.04 eV/atom

# CaIn2GaAu2

A relaxed structure of CaIn2GaAu2 (PBE-GGA, Alexandria).

Cell lengths 5.537, 5.537, 6.782 Å; angles 114.09, 114.09, 90.00 degrees
Element x y z (fractional)
Ca: 0.500 0.500 0.000
In: 0.250 0.750 0.500
In: 0.750 0.250 0.500
Au: 0.773 0.773 0.546
Au: 0.227 0.227 0.454
Ga: 0.000 0.000 0.000

Properties
total moment = 0.000 Bohr magnetons per cell
calculated formation energy = -157 meV/atom
energy = -3.00 eV/atom

# Gd2YSb

A relaxed structure of Gd2YSb (PBE-GGA, Alexandria).

Cell lengths 4.077, 4.077, 7.113 Å; angles 90.00, 90.00, 90.00 degrees
Element x y z (fractional)
Gd: 0.000 0.000 0.223
Gd: 0.000 0.000 0.777
Y: 0.500 0.500 0.500
Sb: 0.500 0.500 0.000

Properties
E above lowest polymorph = 0.000 eV/atom
total moment = 15.876 Bohr magnetons per cell
energy = -10.21 eV/atom